Record 1
# PBE LuMgNiGe, optimized geometry
data_LuMgNiGe
_space_group_name_H-M_alt 'F -4 3 m'
_space_group_IT_number 216
_space_group_name_Hall 'F -4 2 3'
_cell_length_a 6.5580
_cell_length_b 6.5580
_cell_length_c 6.5580
_cell_angle_alpha 90.00
_cell_angle_beta 90.00
_cell_angle_gamma 90.00
loop_
_atom_site_label
_atom_site_fract_x
_atom_site_fract_y
_atom_site_fract_z
Lu1 0.0000 0.0000 0.0000
Mg1 0.2500 0.2500 0.7500
Ni1 0.0000 0.0000 0.5000
Ge1 0.2500 0.2500 0.2500
# **E above lowest polymorph**: 31 meV/atom
# **Spin magnetization**: 0.15 Bohr magnetons per cell
# **E**: -4.236 eV per atom

Record 2
# PBE LuGeMo, optimized geometry
data_LuGeMo
_space_group_name_H-M_alt 'F -4 3 m'
_space_group_IT_number 216
_space_group_name_Hall 'F -4 2 3'
_cell_length_a 6.6128
_cell_length_b 6.6128
_cell_length_c 6.6128
_cell_angle_alpha 90.00
_cell_angle_beta 90.00
_cell_angle_gamma 90.00
loop_
_atom_site_label
_atom_site_fract_x
_atom_site_fract_y
_atom_site_fract_z
Lu1 0.0000 0.0000 0.0000
Ge1 0.2500 0.2500 0.7500
Mo1 0.2500 0.2500 0.2500
# **Spin magnetization**: 11.94 Bohr magnetons per cell
# **E**: -5.696 eV per atom

Record 3
# PBE LuGeMo2, optimized geometry
data_LuGeMo2
_space_group_name_H-M_alt 'F -4 3 m'
_space_group_IT_number 216
_space_group_name_Hall 'F -4 2 3'
_cell_length_a 6.5171
_cell_length_b 6.5171
_cell_length_c 6.5171
_cell_angle_alpha 90.00
_cell_angle_beta 90.00
_cell_angle_gamma 90.00
loop_
_atom_site_label
_atom_site_fract_x
_atom_site_fract_y
_atom_site_fract_z
Lu1 0.0000 0.0000 0.0000
Ge1 0.2500 0.2500 0.7500
Mo1 0.0000 0.0000 0.5000
Mo2 0.2500 0.2500 0.2500
# **Spin magnetization**: 0.02 Bohr magnetons per cell
# **E**: -7.704 eV per atom